Entry 1:
VASP calculation (meta-GGA SCAN) on a crystal of Ce2ThS5 relaxed with PBEsol.

a b c (Å): 11.772 8.114 7.423
angles (deg): 90.00 90.00 90.00
Space group Pnma (No. 62)
Asymmetric unit:
1 Ce 0.177 0.002 0.024
2 Th 0.010 0.250 0.580
3 S 0.000 0.250 0.964
4 S 0.099 0.547 0.667
5 S 0.190 0.250 0.329
6 S 0.220 0.750 0.299

Computed properties:
Raw total energy (eV/atom): -31.4550
Volume (Å³/cell): 709
Spin magnetization (μB/f.u.): 2.00
Raw formation energy (meV/atom): -2307
D(E_F) (states/eV per atom): 0.135


Entry 2:
VASP calculation (meta-GGA SCAN) on a crystal of CeTm4S7 relaxed with PBEsol.

a b c (Å): 12.648 3.723 11.429
angles (deg): 90.00 104.62 90.00
Space group Cm (No. 8)
Asymmetric unit:
1 Ce 0.000 0.000 0.000
2 Tm 0.086 0.500 0.392
3 Tm 0.186 0.000 0.763
4 Tm 0.272 0.500 0.161
5 Tm 0.386 0.500 0.575
6 S 0.045 0.500 0.628
7 S 0.136 0.500 0.927
8 S 0.149 0.000 0.235
9 S 0.227 0.000 0.528
10 S 0.343 0.500 0.787
11 S 0.383 0.000 0.086
12 S 0.429 0.500 0.363

Computed properties:
Raw total energy (eV/atom): -28.8998
Volume (Å³/cell): 521
Spin magnetization (μB/f.u.): 1.17
Raw formation energy (meV/atom): -2293
D(E_F) (states/eV per atom): 0.317


Entry 3:
VASP calculation (meta-GGA SCAN) on a crystal of CeU2S5 relaxed with PBEsol.

a b c (Å): 11.348 7.211 7.836
angles (deg): 90.00 90.00 90.00
Space group Pna2_1 (No. 33)
Asymmetric unit:
1 Ce 0.176 0.035 0.000
2 U 0.009 0.578 0.246
3 U 0.179 0.029 0.494
4 S 0.001 0.037 0.746
5 S 0.090 0.678 0.546
6 S 0.095 0.667 0.949
7 S 0.191 0.335 0.248
8 S 0.220 0.303 0.745

Computed properties:
Raw total energy (eV/atom): -39.1905
Volume (Å³/cell): 641
Spin magnetization (μB/f.u.): 6.00
Raw formation energy (meV/atom): -1721
D(E_F) (states/eV per atom): 1.875


Entry 4:
VASP calculation (meta-GGA SCAN) on a crystal of CeY3S6 relaxed with PBEsol.

a b c (Å): 10.918 3.918 11.197
angles (deg): 90.00 108.66 90.00
Space group P2_1/m (No. 11)
Asymmetric unit:
1 Ce 0.049 0.250 0.194
2 Y 0.160 0.250 0.585
3 Y 0.320 0.750 0.999
4 Y 0.438 0.250 0.333
5 S 0.084 0.750 0.403
6 S 0.117 0.250 0.963
7 S 0.192 0.750 0.751
8 S 0.260 0.750 0.227
9 S 0.394 0.250 0.559
10 S 0.482 0.250 0.114

Computed properties:
Raw total energy (eV/atom): -20.9895
Volume (Å³/cell): 454
Spin magnetization (μB/f.u.): 0.98
Raw formation energy (meV/atom): -2403
D(E_F) (states/eV per atom): 0.069


Entry 5:
VASP calculation (meta-GGA SCAN) on a crystal of CeSb3 relaxed with PBEsol.

a b c (Å): 4.673 4.673 4.673
angles (deg): 90.00 90.00 90.00
Space group Pm-3m (No. 221)
Asymmetric unit:
1 Ce 0.000 0.000 0.000
2 Sb 0.000 0.500 0.500

Computed properties:
Raw total energy (eV/atom): -39.6814
Volume (Å³/cell): 102
Spin magnetization (μB/f.u.): 0.61
Raw formation energy (meV/atom): -595
D(E_F) (states/eV per atom): 0.845


Entry 6:
VASP calculation (meta-GGA SCAN) on a crystal of CeSb relaxed with PBEsol.

a b c (Å): 6.251 6.251 6.251
angles (deg): 90.00 90.00 90.00
Space group Fm-3m (No. 225)
Asymmetric unit:
1 Ce 0.000 0.000 0.000
2 Sb 0.000 0.000 0.500

Computed properties:
Raw total energy (eV/atom): -42.0916
Volume (Å³/cell): 244
Spin magnetization (μB/f.u.): 0.90
Raw formation energy (meV/atom): -1179
D(E_F) (states/eV per atom): 1.576


Look up the D(E_F) of the fourth one.
0.069 states/eV per atom


Copy entry 3 word for word.
VASP calculation (meta-GGA SCAN) on a crystal of CeU2S5 relaxed with PBEsol.

a b c (Å): 11.348 7.211 7.836
angles (deg): 90.00 90.00 90.00
Space group Pna2_1 (No. 33)
Asymmetric unit:
1 Ce 0.176 0.035 0.000
2 U 0.009 0.578 0.246
3 U 0.179 0.029 0.494
4 S 0.001 0.037 0.746
5 S 0.090 0.678 0.546
6 S 0.095 0.667 0.949
7 S 0.191 0.335 0.248
8 S 0.220 0.303 0.745

Computed properties:
Raw total energy (eV/atom): -39.1905
Volume (Å³/cell): 641
Spin magnetization (μB/f.u.): 6.00
Raw formation energy (meV/atom): -1721
D(E_F) (states/eV per atom): 1.875